NbAs2BrN, relaxed, DFT PBE-GGA; uncorrected energy = -4.966 eV/atom; N(E_F) = 3.78 states/eV per cell; energy relative to the elements, uncorrected = 907.8 meV/atom; M_tot = 1.13 μB per cell; space-group type = P4/mmm, No. 123; theoretical density = 6.65 g/cm3; energy relative to the lowest polymorph listed for this composition = 0.0 meV per atom
1.0
4.266 0.000 0.000
0.000 4.266 0.000
0.000 0.000 4.620
Nb As Br N
1 2 1 1
direct
0.000 0.000 0.000
0.000 0.500 0.500
0.500 0.000 0.500
0.500 0.500 0.000
0.500 0.500 0.500

***

NbAs2BrN, relaxed, DFT PBE-GGA; uncorrected energy = -4.770 eV/atom; N(E_F) = 3.30 states/eV per cell; energy relative to the elements, uncorrected = 1103.1 meV/atom; M_tot = 2.91 μB per cell; space-group type = P4/mmm, No. 123; theoretical density = 4.16 g/cm3; energy relative to the lowest polymorph listed for this composition = 195.3 meV per atom
1.0
4.996 0.000 0.000
0.000 4.996 0.000
0.000 0.000 5.383
Nb As Br N
1 2 1 1
direct
0.000 0.000 0.000
0.000 0.500 0.000
0.500 0.000 0.000
0.000 0.000 0.500
0.500 0.500 0.500